1.
{"formula": "ZrTeP3", "functional": "SCAN", "state": "single point on PBEsol structure", "lattice": [[4.9616, 0.0000, 0.0000], [0.0000, 4.9616, 0.0000], [0.0000, 0.0000, 4.9616]], "species": ["P", "P", "P", "Zr", "Te"], "frac_coords": [[0.5000, 0.0000, 0.0000], [0.0000, 0.0000, 0.5000], [0.0000, 0.5000, 0.0000], [0.0000, 0.0000, 0.0000], [0.5000, 0.5000, 0.5000]], "spacegroup": "Pm-3m (221)"}

2.
{"formula": "KSnSe2", "functional": "SCAN", "state": "single point on PBEsol structure", "lattice": [[6.6184, 0.0537, 0.0000], [-2.9155, 5.9419, 0.0000], [-1.8515, -2.9978, 5.6028]], "species": ["Se", "Se", "Sn", "Se", "K", "K", "Sn", "Se"], "frac_coords": [[0.2448, 0.7448, 0.8731], [0.3717, 0.2448, 0.5000], [0.3083, 0.8083, 0.5000], [0.7448, 0.8717, 0.5000], [0.3081, 0.3081, 0.0000], [0.8081, 0.8081, 0.0000], [0.8083, 0.3083, 0.5000], [0.8717, 0.3717, 0.1269]], "spacegroup": "I4/mcm (140)"}

3.
{"formula": "LiZn2Cd", "functional": "SCAN", "state": "single point on PBEsol structure", "lattice": [[3.8617, 0.0000, 0.0000], [0.0000, 3.8488, 0.0000], [0.0000, 0.0000, 4.2112]], "species": ["Li", "Cd", "Zn", "Zn"], "frac_coords": [[0.0000, 0.5000, 0.5000], [0.5000, 0.0000, 0.5000], [0.0000, 0.0000, 0.0000], [0.5000, 0.5000, 0.0000]], "spacegroup": "Pmmm (47)", "e_form_ev_per_atom": -0.12}

4.
{"formula": "ErTmCd2", "functional": "SCAN", "state": "single point on PBEsol structure", "lattice": [[5.1432, 0.0000, 0.0000], [2.5716, 4.4541, 0.0000], [2.5716, 1.4847, 4.1994]], "species": ["Er", "Tm", "Cd", "Cd"], "frac_coords": [[0.5000, 0.5000, 0.5000], [0.0000, 0.0000, 0.0000], [0.7500, 0.7500, 0.7500], [0.2500, 0.2500, 0.2500]], "spacegroup": "Fm-3m (225)", "e_form_ev_per_atom": -0.43}

Number 1: calculated total energy -19.30 eV per atom. Number 2: calculated total energy -21.85 eV per atom. Number 3: calculated total energy -15.08 eV per atom. Number 4: calculated total energy -41.18 eV per atom.